Zr2ScZn after structural relaxation. Source: the Alexandria database, functional PBEsol.

Structure (POSCAR):
```
Zr2ScZn
1.0
-2.116 2.116 4.396
2.116 -2.116 4.396
2.116 2.116 -4.396
Zr Sc Zn
2 1 1
Direct
0.000 0.000 0.000
0.750 0.250 0.500
0.500 0.500 0.000
0.250 0.750 0.500
```

- Formation energy: -97 meV/atom
- Magnetic moment: 0.00 μB/f.u.

Sc2InCl after structural relaxation. Source: the Alexandria database, functional PBEsol.

Structure (POSCAR):
```
Sc2InCl
1.0
3.303 0.000 0.000
0.000 4.902 0.000
-1.630 0.000 5.380
Sc In Cl
2 1 1
Direct
0.000 0.000 0.000
0.312 0.500 0.625
0.728 0.000 0.463
0.000 0.500 0.003
```

- E_form (uncorrected): -304.2 kJ/mol of formula units
- ΔE to the lowest computed polymorph: 48 meV per atom
- Magnetic moment: 0.00 μB/f.u.

Ca2AlZn after structural relaxation. Source: the Alexandria database, functional PBEsol.

Structure (POSCAR):
```
Ca2AlZn
1.0
-1.759 2.591 5.315
1.759 -2.591 5.315
1.759 2.591 -5.315
Ca Al Zn
2 1 1
Direct
0.000 0.000 0.000
0.700 0.200 0.500
0.271 0.771 0.500
0.451 0.451 0.000
```

- Formation energy: -180 meV/atom
- Magnetic moment: 0.00 μB/f.u.

Number 1: final energy -6.688 eV/atom. Number 2: final energy -5.338 eV/atom. Number 3: final energy -2.665 eV/atom.